Density functional theory data (PBE) for AcFeBi2 after structural relaxation.

Results
Size of the total moment in μB/cell: 3.2
DOS at the Fermi energy in states/eV per atom: 0.9739
Final energy in eV per cell: -20.24

Cell: 4.766 4.968 4.968 Å, 90.00 90.00 90.00°
Each line ends with the local moment (μB).
Element x y z (fractional)
Ac  0.500  0.000  0.000  -0.02
Bi  0.000  0.000  0.500  0.02
Bi  0.000  0.500  0.000  0.02
Fe  0.500  0.500  0.500  3.00